Entry from Alexandria via LeMat-Bulk: a geometry-optimized Na2PuInBr6 structure (PBE-GGA).

POSCAR file:
```
Na2PuInBr6
1.0
3.8008 2.1944 7.0350
-3.8008 2.1944 7.0350
0.0000 -4.3888 7.0350
Na Pu In Br
2 1 1 6
Cartesian
0.0000 0.0000 0.0000
0.0000 0.0000 10.2793
0.0000 0.0000 14.3401
0.0000 0.0000 4.0892
-1.3391 -2.2682 8.8208
-2.2008 -0.2544 12.4696
-1.2948 2.2938 8.8208
1.3207 -1.7787 12.4696
2.6339 -0.0256 8.8208
0.8801 2.0332 12.4696
```

Properties
DOS(E_F): 10.8 states/eV/f.u.
E_form (uncorrected): -1354.9 meV per atom
Crystal system: trigonal
ρ: 4.170 Mg/m³

Entry from Alexandria via LeMat-Bulk: a geometry-optimized NaPuIn2Br6 structure (PBE-GGA).

POSCAR file:
```
NaPuIn2Br6
1.0
3.9814 2.2987 6.7413
-3.9814 2.2987 6.7413
0.0000 -4.5974 6.7413
Na Pu In Br
1 1 2 6
Cartesian
0.0000 0.0000 0.0000
0.0000 0.0000 10.0037
0.0000 0.0000 5.7839
0.0000 0.0000 15.9890
-2.2279 0.3659 8.1829
-1.6460 -1.7708 11.5520
0.7971 -2.1123 8.1829
-0.7105 2.3109 11.5520
1.4308 1.7464 8.1829
2.3566 -0.5401 11.5520
```

Properties
DOS(E_F): 10.8 states/eV/f.u.
E_form (uncorrected): -1179.3 meV per atom
Crystal system: trigonal
ρ: 4.378 Mg/m³

Entry from Alexandria via LeMat-Bulk: a geometry-optimized Rb2NaInBr6 structure (PBE-GGA).

POSCAR file:
```
Rb2NaInBr6
1.0
0.0000 5.6199 5.6199
5.6199 0.0000 5.6199
5.6199 5.6199 0.0000
Rb Na In Br
2 1 1 6
Cartesian
2.8099 2.8099 2.8099
8.4298 8.4298 8.4298
0.0000 0.0000 0.0000
5.6199 5.6199 5.6199
5.6199 5.6199 2.9145
5.6199 2.9145 5.6199
8.3252 5.6199 5.6199
2.9145 5.6199 5.6199
5.6199 8.3252 5.6199
5.6199 5.6199 8.3252
```

Properties
DOS(E_F): 0.0 states/eV/f.u.
E_form (uncorrected): -1341.6 meV per atom
Crystal system: cubic
ρ: 3.687 Mg/m³

Entry from Alexandria via LeMat-Bulk: a geometry-optimized Rb2NaIn2Br6 structure (PBE-GGA).

POSCAR file:
```
Rb2NaIn2Br6
1.0
6.9807 -4.1584 0.0000
6.9807 4.1584 0.0000
-4.8972 0.0000 7.8831
Rb Na In Br
2 1 2 6
Cartesian
2.1961 0.0000 1.3502
6.8682 0.0000 6.5328
-2.4486 0.0000 3.9415
2.4278 0.0000 6.4395
6.6364 0.0000 1.4436
4.9244 2.1933 1.6847
0.6109 0.0000 4.3914
4.1399 2.1933 6.1984
4.9244 -2.1933 1.6847
8.4534 0.0000 3.4917
4.1399 -2.1933 6.1984
```

Properties
DOS(E_F): 5.0 states/eV/f.u.
E_form (uncorrected): -1177.7 meV per atom
Crystal system: monoclinic
ρ: 3.276 Mg/m³

Entry from Alexandria via LeMat-Bulk: a geometry-optimized Rb2NaInBr5 structure (PBE-GGA).

POSCAR file:
```
Rb2NaInBr5
1.0
2.5231 -9.7231 0.0000
2.5231 9.7231 0.0000
0.0000 0.0000 13.7193
Rb Na In Br
4 2 2 10
Cartesian
2.5231 7.3486 6.8596
2.5231 7.0654 1.8851
2.5231 -7.0654 8.7447
2.5231 -7.3486 0.0000
2.5231 5.4959 11.6825
2.5231 -5.4959 4.8229
2.5231 1.0266 3.7511
2.5231 -1.0266 10.6107
2.5231 8.8045 11.6246
2.5231 3.9258 6.5044
2.5231 3.5554 2.6157
2.5231 2.6484 11.2858
2.5231 0.0586 8.1333
2.5231 -0.0586 1.2736
2.5231 -2.6484 4.4262
2.5231 -3.5554 9.4754
2.5231 -3.9258 13.3641
2.5231 -8.8045 4.7649
```

Properties
DOS(E_F): 1.3 states/eV/f.u.
E_form (uncorrected): -1335.4 meV per atom
Crystal system: orthorhombic
ρ: 3.494 Mg/m³

Entry from Alexandria via LeMat-Bulk: a geometry-optimized RbNaIn2Br8 structure (PBE-GGA).

POSCAR file:
```
RbNaIn2Br8
1.0
-5.5583 5.5583 4.2904
5.5583 -5.5583 4.2904
5.5583 5.5583 -4.2904
Rb Na In Br
1 1 2 8
Cartesian
0.0000 0.0000 0.0000
5.5583 0.0000 2.1452
0.0000 0.0000 4.2904
0.0000 5.5583 2.1452
3.4932 5.5583 -1.4885
2.0651 0.0000 2.8019
0.0000 3.6410 0.4590
5.5583 3.4932 1.4885
0.0000 7.4756 0.4590
0.0000 2.0651 5.7789
-1.9173 5.5583 3.8314
1.9173 5.5583 3.8314
```

Properties
DOS(E_F): 0.0 states/eV/f.u.
E_form (uncorrected): -1088.9 meV per atom
Crystal system: tetragonal
ρ: 3.061 Mg/m³

Entry from Alexandria via LeMat-Bulk: a geometry-optimized RbNaIn2Br6 structure (PBE-GGA).

POSCAR file:
```
RbNaIn2Br6
1.0
8.0217 0.0000 0.0000
3.9959 6.9593 0.0000
3.9940 2.3091 6.5671
Rb Na In Br
1 1 2 6
Cartesian
0.0000 0.0000 0.0000
7.7858 4.5039 3.1937
4.5518 2.6370 1.8706
12.5425 7.2631 5.1461
4.8269 4.3727 4.0241
7.2784 7.6779 3.3140
6.1951 4.4555 0.5601
8.5393 3.4860 6.1483
6.9481 1.5700 2.7923
10.2803 3.9543 1.2568
```

Properties
E_form (uncorrected): -1108.9 meV per atom
Crystal system: triclinic
ρ: 3.703 Mg/m³

Entry from Alexandria via LeMat-Bulk: a geometry-optimized RbNaIn2Br4 structure (PBE-GGA).

POSCAR file:
```
RbNaIn2Br4
1.0
8.1238 0.0000 0.0000
0.0000 4.6914 0.0000
-2.6971 0.0000 7.6968
Rb Na In Br
1 1 2 4
Cartesian
0.0000 0.0000 0.0000
4.0619 2.3457 0.0000
-1.3486 2.3457 3.8484
2.7133 0.0000 3.8484
0.1239 0.0000 5.8740
1.5358 2.3457 1.8647
5.3027 0.0000 1.8228
3.8909 2.3457 5.8321
```

Properties
DOS(E_F): 0.0 states/eV/f.u.
E_form (uncorrected): -1119.7 meV per atom
Crystal system: monoclinic
ρ: 3.723 Mg/m³

- ρ of number 6 (RbNaIn2Br8)?
  3.061 Mg/m³

- Among the records above, which one has the highest E_form (uncorrected)?
  RbNaIn2Br8

Please write out number 3 again, unchanged.
Entry from Alexandria via LeMat-Bulk: a geometry-optimized Rb2NaInBr6 structure (PBE-GGA).

POSCAR file:
```
Rb2NaInBr6
1.0
0.0000 5.6199 5.6199
5.6199 0.0000 5.6199
5.6199 5.6199 0.0000
Rb Na In Br
2 1 1 6
Cartesian
2.8099 2.8099 2.8099
8.4298 8.4298 8.4298
0.0000 0.0000 0.0000
5.6199 5.6199 5.6199
5.6199 5.6199 2.9145
5.6199 2.9145 5.6199
8.3252 5.6199 5.6199
2.9145 5.6199 5.6199
5.6199 8.3252 5.6199
5.6199 5.6199 8.3252
```

Properties
DOS(E_F): 0.0 states/eV/f.u.
E_form (uncorrected): -1341.6 meV per atom
Crystal system: cubic
ρ: 3.687 Mg/m³